[1]
The following is a DFT calculation (PBE-GGA) of a relaxed PrEr2O3 crystal.

Geometry as POSCAR:
```
PrEr2O3
1.0
3.4258 0.0000 0.0000
-1.7129 2.9669 0.0000
0.0000 0.0000 8.4779
Er O Pr
2 3 1
direct
0.6667 0.3333 0.3367
0.3333 0.6667 0.6633
0.0000 0.0000 0.5000
0.6667 0.3333 0.7956
0.3333 0.6667 0.2044
0.0000 0.0000 0.0000
```

Summary:
The value obtained for the volume is 14.36 A^3/atom. Its crystal system is trigonal. As for the calculated total energy: -45.611 eV/cell. The value obtained for the mass density is 10.09 g/cm3.

---

[2]
The following is a DFT calculation (PBE-GGA) of a relaxed TbHfTlTe3 crystal.

Geometry as POSCAR:
```
TbHfTlTe3
1.0
-2.2203 -0.9896 7.6519
1.7008 -3.1220 -7.1987
11.2648 -1.0784 3.1292
Te Tb Hf Tl
6 2 2 2
direct
0.5669 0.4331 0.7500
0.4331 0.5669 0.2500
0.1438 0.8562 0.0368
0.8562 0.1438 0.5368
0.8562 0.1438 0.9632
0.1438 0.8562 0.4632
0.5000 0.5000 0.0000
0.5000 0.5000 0.5000
0.9384 0.0616 0.7500
0.0616 0.9384 0.2500
0.7359 0.2641 0.2500
0.2641 0.7359 0.7500
```

Summary:
The value obtained for the volume is 31.63 A^3/atom. Its crystal system is orthorhombic. As for the calculated total energy: -61.755 eV/cell. The value obtained for the mass density is 8.09 g/cm3.

---

[3]
The following is a DFT calculation (PBE-GGA) of a relaxed LiCdNiBi crystal.

Geometry as POSCAR:
```
LiCdNiBi
1.0
0.0000 3.3784 3.3784
3.3784 0.0000 3.3784
3.3784 3.3784 0.0000
Ni Bi Cd Li
1 1 1 1
direct
0.5000 0.5000 0.5000
0.2500 0.2500 0.2500
0.0000 0.0000 0.0000
0.7500 0.7500 0.7500
```

Summary:
The value obtained for the volume is 19.28 A^3/atom. Its crystal system is cubic. As for the calculated total energy: -12.101 eV/cell. The value obtained for the mass density is 8.33 g/cm3.

---

[4]
The following is a DFT calculation (PBE-GGA) of a relaxed RbZnPO crystal.

Geometry as POSCAR:
```
RbZnPO
1.0
3.7280 0.0000 0.0000
0.0000 3.7280 0.0000
0.0000 0.0000 12.1471
Zn Rb P O
2 2 2 2
direct
0.5000 0.5000 0.5000
0.0000 0.0000 0.5000
0.5000 0.0000 0.8353
0.0000 0.5000 0.1647
0.5000 0.0000 0.3701
0.0000 0.5000 0.6299
0.0000 0.0000 0.0000
0.5000 0.5000 0.0000
```

Summary:
The value obtained for the volume is 21.10 A^3/atom. Its crystal system is tetragonal. As for the calculated total energy: -25.545 eV/cell. The value obtained for the mass density is 3.89 g/cm3.

---

[5]
The following is a DFT calculation (PBE-GGA) of a relaxed CoBiMoAu crystal.

Geometry as POSCAR:
```
CoBiMoAu
1.0
1.8145 -1.5311 3.9494
4.5041 0.5223 0.8214
1.4269 2.9983 3.1951
Bi Au Co Mo
1 1 1 1
direct
0.0000 0.0000 0.0000
0.5000 0.5000 0.5000
0.7500 0.7500 0.7500
0.2500 0.2500 0.2500
```

Summary:
The value obtained for the volume is 17.30 A^3/atom. Its crystal system is cubic. As for the calculated total energy: -22.911 eV/cell. The value obtained for the mass density is 13.46 g/cm3.

---

[6]
The following is a DFT calculation (PBE-GGA) of a relaxed Lu2Pd2O5 crystal.

Geometry as POSCAR:
```
Lu2Pd2O5
1.0
-5.9206 -5.9047 2.1374
-0.0247 -1.2636 -3.5592
2.7480 -2.4478 0.8499
Pd O Lu
2 5 2
direct
0.5000 0.0000 0.0000
0.0000 0.0000 0.0000
0.1438 0.0000 0.5000
0.8562 0.0000 0.5000
0.8562 0.5000 0.0000
0.5000 0.5000 0.5000
0.1438 0.5000 0.0000
0.7455 0.5000 0.5000
0.2545 0.5000 0.5000
```

Summary:
The value obtained for the volume is 13.68 A^3/atom. Its crystal system is tetragonal. As for the calculated total energy: -59.109 eV/cell. The value obtained for the mass density is 8.67 g/cm3.

---

[7]
The following is a DFT calculation (PBE-GGA) of a relaxed RbAlFe crystal.

Geometry as POSCAR:
```
RbAlFe
1.0
2.0308 -3.1921 3.4173
0.4777 1.4425 4.8665
-2.9482 -2.1090 3.5850
Al Fe Rb
1 1 1
direct
0.0000 0.0000 0.0000
0.2500 0.2500 0.2500
0.7500 0.7500 0.7500
```

Summary:
The value obtained for the volume is 31.23 A^3/atom. Its crystal system is cubic. As for the calculated total energy: -9.185 eV/cell. The value obtained for the mass density is 2.98 g/cm3.

---

[8]
The following is a DFT calculation (PBE-GGA) of a relaxed Ag2SeO crystal.

Geometry as POSCAR:
```
Ag2SeO
1.0
3.5528 0.0000 0.0000
-1.7764 3.0768 0.0000
0.0000 0.0000 12.9888
O Ag Se
2 4 2
direct
0.0000 0.0000 0.8246
0.0000 0.0000 0.3246
0.0000 0.0000 0.4865
0.3333 0.6667 0.2528
0.6667 0.3333 0.7528
0.0000 0.0000 0.9865
0.6667 0.3333 0.1237
0.3333 0.6667 0.6237
```

Summary:
The value obtained for the volume is 17.75 A^3/atom. Its crystal system is hexagonal. As for the calculated total energy: -27.690 eV/cell. The value obtained for the mass density is 7.27 g/cm3.

---

[9]
The following is a DFT calculation (PBE-GGA) of a relaxed Gd3TmPb2C2 crystal.

Geometry as POSCAR:
```
Gd3TmPb2C2
1.0
-1.9428 -0.3045 -3.0724
-1.5630 -0.6923 3.2225
-4.3789 15.5858 1.2243
Pb Gd C Tm
2 3 2 1
direct
0.0000 0.0000 0.2490
0.6667 0.3333 0.7538
0.0000 0.0000 0.5841
0.6667 0.3333 0.0812
0.6667 0.3333 0.4166
0.3333 0.6667 0.9969
0.3333 0.6667 0.5005
0.0000 0.0000 0.9179
```

Summary:
The value obtained for the volume is 23.39 A^3/atom. Its crystal system is trigonal. As for the calculated total energy: -48.025 eV/cell. The value obtained for the mass density is 9.58 g/cm3.

---

[10]
The following is a DFT calculation (PBE-GGA) of a relaxed Mg12Nb crystal.

Geometry as POSCAR:
```
Mg12Nb
1.0
4.6186 -6.0264 -1.1223
-2.7652 3.7643 6.0903
-6.5605 -3.2100 -2.3589
Mg Nb
12 1
direct
0.7041 0.5000 0.2041
0.6549 0.0000 0.6549
0.5000 0.7041 0.2041
0.5000 0.2959 0.7959
0.5000 0.0000 0.0000
0.0000 0.0000 0.5000
0.0000 0.6549 0.6549
0.5000 0.5000 0.5000
0.2959 0.5000 0.7959
0.0000 0.3451 0.3451
0.0000 0.5000 0.0000
0.3451 0.0000 0.3451
0.0000 0.0000 0.0000
```

Summary:
The value obtained for the volume is 22.44 A^3/atom. Its crystal system is tetragonal. As for the calculated total energy: -25.684 eV/cell. The value obtained for the mass density is 2.19 g/cm3.

---

[11]
The following is a DFT calculation (PBE-GGA) of a relaxed TaFeReB crystal.

Geometry as POSCAR:
```
TaFeReB
1.0
-0.9175 0.6462 4.0143
-2.4964 3.1565 1.0853
-3.8455 -0.7739 1.4097
B Fe Re Ta
1 1 1 1
direct
0.0000 0.0000 0.0000
0.7500 0.7500 0.7500
0.2500 0.2500 0.2500
0.5000 0.5000 0.5000
```

Summary:
The value obtained for the volume is 12.80 A^3/atom. Its crystal system is cubic. As for the calculated total energy: -37.748 eV/cell. The value obtained for the mass density is 14.07 g/cm3.

---

[12]
The following is a DFT calculation (PBE-GGA) of a relaxed DyBiSO2 crystal.

Geometry as POSCAR:
```
DyBiSO2
1.0
3.8658 0.0000 0.0000
-1.9329 3.3479 0.0000
0.0000 0.0000 6.7318
Dy O Bi S
1 2 1 1
direct
0.3333 0.6667 0.2818
0.3333 0.6667 0.6180
0.0000 0.0000 0.3655
0.0000 0.0000 0.7236
0.6667 0.3333 0.0111
```

Summary:
The value obtained for the volume is 17.42 A^3/atom. Its crystal system is trigonal. As for the calculated total energy: -33.002 eV/cell. The value obtained for the mass density is 8.30 g/cm3.

---

[13]
The following is a DFT calculation (PBE-GGA) of a relaxed In2SiAg2S6 crystal.

Geometry as POSCAR:
```
In2SiAg2S6
1.0
-6.1644 -3.6291 0.0033
6.1644 -3.6291 -0.0033
-4.0636 0.0000 11.5969
S Ag In Si
12 4 4 2
direct
0.1542 0.3569 0.8271
0.4065 0.1153 0.5610
0.4061 0.6506 0.5841
0.9034 0.1059 0.5661
0.8941 0.0966 0.0661
0.8847 0.5935 0.0610
0.9382 0.5227 0.3814
0.3494 0.5939 0.0841
0.6431 0.8458 0.3271
0.4773 0.0618 0.8814
0.8294 0.6493 0.7516
0.3507 0.1706 0.2516
0.0114 0.8081 0.2635
0.1919 0.9886 0.7635
0.6087 0.8104 0.9206
0.1896 0.3913 0.4206
0.6975 0.1774 0.2673
0.6783 0.5142 0.5688
0.4858 0.3217 0.0688
0.8226 0.3025 0.7673
0.0589 0.4018 0.0102
0.5982 0.9411 0.5102
```

Summary:
The value obtained for the volume is 23.58 A^3/atom. Its crystal system is monoclinic. As for the calculated total energy: -93.530 eV/cell. The value obtained for the mass density is 4.26 g/cm3.

---

[14]
The following is a DFT calculation (PBE-GGA) of a relaxed ZrCoSbPt crystal.

Geometry as POSCAR:
```
ZrCoSbPt
1.0
0.0000 3.2656 3.2656
3.2656 0.0000 3.2656
3.2656 3.2656 0.0000
Zr Sb Pt Co
1 1 1 1
direct
0.5000 0.5000 0.5000
0.0000 0.0000 0.0000
0.2500 0.2500 0.2500
0.7500 0.7500 0.7500
```

Summary:
The value obtained for the volume is 17.41 A^3/atom. Its crystal system is cubic. As for the calculated total energy: -27.240 eV/cell. The value obtained for the mass density is 11.13 g/cm3.

---

[15]
The following is a DFT calculation (PBE-GGA) of a relaxed Gd2Fe14BH4 crystal.

Geometry as POSCAR:
```
Gd2Fe14BH4
1.0
-1.6923 8.6603 0.6794
-4.5218 -0.2872 -7.6024
-10.2213 -2.4816 6.1732
Fe Gd H B
56 8 16 4
direct
0.5000 0.5000 0.1109
0.8959 0.8959 0.2155
0.3158 0.3158 0.7567
0.0390 0.3656 0.8234
0.3158 0.3158 0.2433
0.6344 0.9610 0.1766
0.6041 0.3959 0.2845
0.1041 0.1041 0.7845
0.3656 0.0390 0.8234
0.9610 0.6344 0.1766
0.4610 0.8656 0.3234
0.9610 0.6344 0.8234
0.8959 0.8959 0.7845
0.8158 0.1842 0.7433
0.4385 0.7752 0.8762
0.0615 0.2752 0.6238
0.9385 0.7248 0.6238
0.8656 0.4610 0.3234
0.7248 0.9385 0.3762
0.1344 0.5390 0.6766
0.7248 0.9385 0.6238
0.2752 0.0615 0.3762
0.2248 0.5615 0.1238
0.5390 0.1344 0.3234
0.1041 0.1041 0.2155
0.7752 0.4385 0.8762
0.7752 0.4385 0.1238
0.0615 0.2752 0.3762
0.2752 0.0615 0.6238
0.4610 0.8656 0.6766
0.8158 0.1842 0.2567
0.0390 0.3656 0.1766
0.6842 0.6842 0.7567
0.0000 0.5000 0.5000
0.1842 0.8158 0.2567
0.3959 0.6041 0.7155
0.5000 0.0000 0.5000
0.5615 0.2248 0.1238
0.6344 0.9610 0.8234
0.5000 0.5000 0.8891
0.5000 0.0000 0.0000
0.0000 0.5000 0.0000
0.4385 0.7752 0.1238
0.9385 0.7248 0.3762
0.1344 0.5390 0.3234
0.3656 0.0390 0.1766
0.2248 0.5615 0.8762
0.0000 0.0000 0.3891
0.5390 0.1344 0.6766
0.6041 0.3959 0.7155
0.3959 0.6041 0.2845
0.8656 0.4610 0.6766
0.6842 0.6842 0.2433
0.5615 0.2248 0.8762
0.0000 0.0000 0.6109
0.1842 0.8158 0.7433
0.8445 0.1555 0.0000
0.7335 0.7335 0.0000
0.2335 0.7665 0.5000
0.2665 0.2665 0.0000
0.7665 0.2335 0.5000
0.3445 0.3445 0.5000
0.1555 0.8445 0.0000
0.6555 0.6555 0.5000
0.4698 0.3039 0.6508
0.9698 0.1961 0.8492
0.3039 0.4698 0.6508
0.5302 0.6961 0.3492
0.1961 0.9698 0.1508
0.9698 0.1961 0.1508
0.6961 0.5302 0.3492
0.1961 0.9698 0.8492
0.4698 0.3039 0.3492
0.3039 0.4698 0.3492
0.8039 0.0302 0.1508
0.8039 0.0302 0.8492
0.6961 0.5302 0.6508
0.0302 0.8039 0.8492
0.5302 0.6961 0.6508
0.0302 0.8039 0.1508
0.8759 0.8759 0.5000
0.6241 0.3759 0.0000
0.1241 0.1241 0.5000
0.3759 0.6241 0.0000
```

Summary:
The value obtained for the volume is 11.37 A^3/atom. Its crystal system is tetragonal. As for the calculated total energy: -591.415 eV/cell. The value obtained for the mass density is 7.73 g/cm3.

---

[16]
The following is a DFT calculation (PBE-GGA) of a relaxed CsNaCu crystal.

Geometry as POSCAR:
```
CsNaCu
1.0
0.0000 3.9218 3.9218
3.9218 0.0000 3.9218
3.9218 3.9218 0.0000
Cu Na Cs
1 1 1
direct
0.7500 0.7500 0.7500
0.0000 0.0000 0.0000
0.2500 0.2500 0.2500
```

Summary:
The value obtained for the volume is 40.21 A^3/atom. Its crystal system is cubic. As for the calculated total energy: -4.337 eV/cell. The value obtained for the mass density is 3.02 g/cm3.

---

[17]
The following is a DFT calculation (PBE-GGA) of a relaxed HgBiB4 crystal.

Geometry as POSCAR:
```
HgBiB4
1.0
-1.5692 2.6874 4.7088
1.5692 -2.6874 4.7088
1.5692 2.6874 -4.7088
B Bi Hg
4 1 1
direct
0.0798 0.7483 0.3316
0.4167 0.7483 0.6684
0.9202 0.2517 0.6684
0.5833 0.2517 0.3316
0.0000 0.0000 0.0000
0.5000 0.5000 0.0000
```

Summary:
The value obtained for the volume is 13.24 A^3/atom. Its crystal system is orthorhombic. As for the calculated total energy: -26.630 eV/cell. The value obtained for the mass density is 9.47 g/cm3.

---

[18]
The following is a DFT calculation (PBE-GGA) of a relaxed Zr2Ta4Au3N3 crystal.

Geometry as POSCAR:
```
Zr2Ta4Au3N3
1.0
4.8427 -2.7927 0.0000
4.8427 2.7927 0.0000
-3.2676 0.0000 13.5453
N Au Ta Zr
6 6 8 4
direct
0.3397 0.8210 0.5001
0.6603 0.1790 0.4999
0.0000 0.5000 0.5000
0.1790 0.6603 0.9999
0.5000 0.0000 0.0000
0.8210 0.3397 0.0001
0.8204 0.5846 0.7511
0.0131 0.9869 0.7500
0.4154 0.1796 0.7489
0.1796 0.4154 0.2489
0.5846 0.8204 0.2511
0.9869 0.0131 0.2500
0.8564 0.6918 0.0786
0.1436 0.3082 0.9214
0.6918 0.8564 0.5786
0.1976 0.0206 0.0786
0.3082 0.1436 0.4214
0.9794 0.8024 0.4214
0.8024 0.9794 0.9214
0.0206 0.1976 0.5786
0.3745 0.5371 0.6071
0.5371 0.3745 0.1071
0.4629 0.6255 0.8929
0.6255 0.4629 0.3929
```

Summary:
The value obtained for the volume is 15.27 A^3/atom. Its crystal system is monoclinic. As for the calculated total energy: -217.257 eV/cell. The value obtained for the mass density is 13.95 g/cm3.

---

[19]
The following is a DFT calculation (PBE-GGA) of a relaxed CuNiAgTe crystal.

Geometry as POSCAR:
```
CuNiAgTe
1.0
0.0000 3.1917 3.1917
3.1917 0.0000 3.1917
3.1917 3.1917 0.0000
Te Cu Ag Ni
1 1 1 1
direct
0.0000 0.0000 0.0000
0.7500 0.7500 0.7500
0.5000 0.5000 0.5000
0.2500 0.2500 0.2500
```

Summary:
The value obtained for the volume is 16.26 A^3/atom. Its crystal system is cubic. As for the calculated total energy: -14.489 eV/cell. The value obtained for the mass density is 9.13 g/cm3.

---

[20]
The following is a DFT calculation (PBE-GGA) of a relaxed GaCuBi crystal.

Geometry as POSCAR:
```
GaCuBi
1.0
0.0000 3.3461 3.3461
3.3461 0.0000 3.3461
3.3461 3.3461 0.0000
Ga Bi Cu
1 1 1
direct
0.7500 0.7500 0.7500
0.0000 0.0000 0.0000
0.2500 0.2500 0.2500
```

Summary:
The value obtained for the volume is 24.98 A^3/atom. Its crystal system is cubic. As for the calculated total energy: -9.696 eV/cell. The value obtained for the mass density is 7.58 g/cm3.

---

[21]
The following is a DFT calculation (PBE-GGA) of a relaxed LiAlNi2 crystal.

Geometry as POSCAR:
```
LiAlNi2
1.0
4.0537 0.0000 0.0000
0.0000 4.0537 0.0000
0.0000 0.0000 2.7795
Li Al Ni
1 1 2
direct
0.5000 0.5000 0.0000
0.0000 0.0000 0.0000
0.5000 0.0000 0.5000
0.0000 0.5000 0.5000
```

Summary:
The value obtained for the volume is 11.42 A^3/atom. Its crystal system is tetragonal. As for the calculated total energy: -18.278 eV/cell. The value obtained for the mass density is 5.50 g/cm3.